(1)
NpHgF5: optimized geometry, PBE.

abc: 3.8403 8.6942 9.0530
angles: 79.16 83.87 85.93
Last column: nearest neighbours and their distance in Å.
Space group P-1 (No. 2)
Inequivalent atoms, fractional coordinates:
Np: 0.0000 0.0000 0.0000 [1 per cell]  2 F 2.01
Np: 0.5000 0.5000 0.5000 [1 per cell]  6 F 2.10-2.30
Hg: 0.1878 0.1164 0.4345 [2 per cell]  1 F 2.15
F: 0.0272 0.7642 0.0555 [2 per cell]  1 Np 2.01
F: 0.0423 0.4724 0.3693 [2 per cell]  2 Np 2.27-2.30, 1 F 2.48
F: 0.4143 0.7200 0.6516 [2 per cell]  1 Hg 2.15
F: 0.4579 0.0199 0.1431 [2 per cell]  2 Np 2.33-2.35
F: 0.4745 0.2800 0.6422 [2 per cell]  1 Np 2.10

- ΔE_f (raw) (eV/atom) = -2.7069
- crystal system = triclinic

---

(2)
UVNi: optimized geometry, PBE.

abc: 3.9032 3.9032 21.3407
angles: 90.00 90.00 120.00
Last column: nearest neighbours and their distance in Å.
Space group R-3m (No. 166, hexagonal axes)
Inequivalent atoms, fractional coordinates:
U: 0.0000 0.0000 0.1977 [6 per cell]  3 U 2.61, 3 V 2.82
V: 0.0000 0.0000 0.0564 [6 per cell]  3 Ni 2.35, 1 V 2.41
Ni: 0.0000 0.0000 0.3589 [6 per cell]  3 V 2.35, 3 Ni 2.50

- crystal system = trigonal
- energy of formation from the pure elements (eV per atom) = 0.09

---

(3)
YNi4Ge: optimized geometry, PBE.

abc: 3.7299 14.7381 6.2716
angles: 90.00 90.00 90.00
Last column: nearest neighbours and their distance in Å.
Space group Cmcm (No. 63)
Inequivalent atoms, fractional coordinates:
Y: 0.0000 0.1020 0.2500 [4 per cell]  9 Ni 2.68-2.88
Ni: 0.0000 0.0799 0.7500 [4 per cell]  1 Ge 2.34, 4 Ni 2.61
Ni: 0.0000 0.3269 0.0586 [8 per cell]  3 Ge 2.33-2.42, 4 Ni 2.40-2.61
Ni: 0.0000 0.5000 0.0000 [4 per cell]  6 Ni 2.58-2.71, 4 Y 2.86
Ge: 0.0000 0.2384 0.7500 [4 per cell]  7 Ni 2.33-2.42

- crystal system = orthorhombic
- energy of formation from the pure elements (eV per atom) = -0.34

---

| no. | D(E_F) (states/eV/cell) |
| --- | --- |
| 1 | 12.47 |
| 2 | 22.88 |
| 3 | 13.03 |